No. 1
Entry from OQMD: a geometry-optimized Tb3Mo2W3N12 structure (GGA-PBE).

Lattice parameters (Å, degrees): 11.0471 11.0471 11.0471 109.47 109.47 109.47
Last column: magnetic moment on the atom in μB.
Positions (direct):
1 N 0.2038 0.5859 0.1819  -0.01
2 N 0.7962 0.8820 0.9780  -0.01
3 N 0.5960 0.1819 0.4780  0.00
4 N 0.6819 0.0859 0.7038  0.00
5 N 0.7038 0.6819 0.0859  0.00
6 N 0.5859 0.1819 0.2038  0.00
7 N 0.3820 0.5859 0.9040  -0.01
8 N 0.2038 0.1180 0.0220  -0.01
9 N 0.1180 0.0220 0.2038  0.00
10 N 0.9780 0.7962 0.8820  0.00
11 N 0.3820 0.2962 0.4780  0.00
12 N 0.8820 0.4040 0.0859  0.00
13 N 0.8181 0.7962 0.4141  0.00
14 N 0.8820 0.9780 0.7962  0.00
15 N 0.0859 0.8820 0.4040  -0.01
16 N 0.4141 0.0960 0.6180  -0.01
17 N 0.3181 0.9040 0.0220  0.00
18 N 0.0220 0.2038 0.1180  0.00
19 N 0.1819 0.4780 0.5960  0.00
20 N 0.4040 0.8181 0.5220  0.00
21 N 0.6180 0.7038 0.5220  0.00
22 N 0.5220 0.6180 0.7038  0.00
23 N 0.0960 0.9780 0.6819  0.00
24 N 0.5859 0.9040 0.3820  -0.01
25 N 0.4040 0.0859 0.8820  0.00
26 N 0.1180 0.5960 0.9141  0.00
27 N 0.4780 0.5960 0.1819  0.00
28 N 0.9141 0.1180 0.5960  -0.01
29 N 0.9780 0.6819 0.0960  0.00
30 N 0.5960 0.9141 0.1180  0.00
31 N 0.9040 0.3820 0.5859  0.00
32 N 0.2962 0.4780 0.3820  -0.01
33 N 0.7962 0.4141 0.8181  -0.01
34 N 0.9040 0.0220 0.3181  0.00
35 N 0.4780 0.3820 0.2962  0.00
36 N 0.9141 0.2962 0.3181  -0.01
37 N 0.6819 0.0960 0.9780  0.00
38 N 0.6180 0.4141 0.0960  -0.01
39 N 0.0960 0.6180 0.4141  0.00
40 N 0.0859 0.7038 0.6819  -0.01
41 N 0.0220 0.3181 0.9040  0.00
42 N 0.7038 0.5220 0.6180  -0.01
43 N 0.5220 0.4040 0.8181  0.00
44 N 0.1819 0.2038 0.5859  0.00
45 N 0.4141 0.8181 0.7962  0.00
46 N 0.8181 0.5220 0.4040  0.00
47 N 0.3181 0.9141 0.2962  0.00
48 N 0.2962 0.3181 0.9141  0.00
49 W 0.7500 0.8750 0.1250  0.17
50 W 0.8750 0.1250 0.7500  0.17
51 W 0.8750 0.2500 0.1250  0.17
52 W 0.3750 0.6250 0.7500  0.17
53 W 0.2500 0.6250 0.3750  0.17
54 W 0.1250 0.8750 0.2500  0.17
55 W 0.2500 0.1250 0.8750  0.17
56 W 0.7500 0.3750 0.6250  0.17
57 W 0.6250 0.3750 0.2500  0.17
58 W 0.3750 0.2500 0.6250  0.17
59 W 0.1250 0.7500 0.8750  0.17
60 W 0.6250 0.7500 0.3750  0.17
61 Mo 0.5000 0.0000 0.5000  1.05
62 Mo 0.0000 0.0000 0.0000  1.07
63 Mo 0.5000 0.5000 0.0000  1.08
64 Mo 0.5000 0.5000 0.5000  1.07
65 Mo 0.0000 0.5000 0.5000  1.06
66 Mo 0.0000 0.5000 0.0000  1.07
67 Mo 0.0000 0.0000 0.5000  1.08
68 Mo 0.5000 0.0000 0.0000  1.05
69 Tb 0.8750 0.6250 0.2500  0.02
70 Tb 0.7500 0.6250 0.8750  0.02
71 Tb 0.7500 0.1250 0.3750  0.02
72 Tb 0.8750 0.7500 0.6250  0.02
73 Tb 0.1250 0.3750 0.7500  0.02
74 Tb 0.2500 0.3750 0.1250  0.02
75 Tb 0.6250 0.8750 0.7500  0.02
76 Tb 0.1250 0.2500 0.3750  0.02
77 Tb 0.3750 0.1250 0.2500  0.02
78 Tb 0.3750 0.7500 0.1250  0.02
79 Tb 0.6250 0.2500 0.8750  0.02
80 Tb 0.2500 0.8750 0.6250  0.02

Computed properties:
space-group type = Ia-3d
calculated volume = 12.97 Å³/atom
theoretical density = 8.88 g/cm3
size of the total moment = 11.975 Bohr magnetons per cell
raw total energy = -9.468 eV/atom



No. 2
Entry from OQMD: a geometry-optimized Tb3Mo3W2N12 structure (GGA-PBE).

Lattice parameters (Å, degrees): 11.0119 11.0119 11.0119 109.47 109.47 109.47
Positions (direct):
1 W 0.0000 0.5000 0.0000
2 W 0.5000 0.0000 0.5000
3 W 0.0000 0.0000 0.5000
4 W 0.5000 0.5000 0.0000
5 W 0.0000 0.0000 0.0000
6 W 0.5000 0.5000 0.5000
7 W 0.5000 0.0000 0.0000
8 W 0.0000 0.5000 0.5000
9 Tb 0.7500 0.6250 0.8750
10 Tb 0.2500 0.3750 0.1250
11 Tb 0.7500 0.1250 0.3750
12 Tb 0.3750 0.7500 0.1250
13 Tb 0.2500 0.8750 0.6250
14 Tb 0.1250 0.3750 0.7500
15 Tb 0.3750 0.1250 0.2500
16 Tb 0.1250 0.2500 0.3750
17 Tb 0.6250 0.8750 0.7500
18 Tb 0.6250 0.2500 0.8750
19 Tb 0.8750 0.6250 0.2500
20 Tb 0.8750 0.7500 0.6250
21 N 0.9155 0.2989 0.3197
22 N 0.9791 0.6803 0.0957
23 N 0.0845 0.7011 0.6803
24 N 0.5845 0.9043 0.3834
25 N 0.4791 0.3834 0.2989
26 N 0.8834 0.4043 0.0845
27 N 0.7011 0.5209 0.6166
28 N 0.6166 0.4155 0.0957
29 N 0.1803 0.2011 0.5845
30 N 0.5209 0.6166 0.7011
31 N 0.0209 0.2011 0.1166
32 N 0.8197 0.7989 0.4155
33 N 0.4155 0.8197 0.7989
34 N 0.5957 0.1803 0.4791
35 N 0.4043 0.8197 0.5209
36 N 0.7989 0.4155 0.8197
37 N 0.5845 0.1803 0.2011
38 N 0.4791 0.5957 0.1803
39 N 0.8834 0.9791 0.7989
40 N 0.0845 0.8834 0.4043
41 N 0.5209 0.4043 0.8197
42 N 0.4043 0.0845 0.8834
43 N 0.6803 0.0845 0.7011
44 N 0.7011 0.6803 0.0845
45 N 0.9043 0.0209 0.3197
46 N 0.8197 0.5209 0.4043
47 N 0.1166 0.0209 0.2011
48 N 0.3197 0.9043 0.0209
49 N 0.3834 0.5845 0.9043
50 N 0.6803 0.0957 0.9791
51 N 0.4155 0.0957 0.6166
52 N 0.2011 0.5845 0.1803
53 N 0.0209 0.3197 0.9043
54 N 0.9791 0.7989 0.8834
55 N 0.9155 0.1166 0.5957
56 N 0.9043 0.3834 0.5845
57 N 0.7989 0.8834 0.9791
58 N 0.5957 0.9155 0.1166
59 N 0.0957 0.6166 0.4155
60 N 0.3197 0.9155 0.2989
61 N 0.1166 0.5957 0.9155
62 N 0.2989 0.3197 0.9155
63 N 0.2989 0.4791 0.3834
64 N 0.1803 0.4791 0.5957
65 N 0.6166 0.7011 0.5209
66 N 0.2011 0.1166 0.0209
67 N 0.3834 0.2989 0.4791
68 N 0.0957 0.9791 0.6803
69 Mo 0.8750 0.2500 0.1250
70 Mo 0.2500 0.6250 0.3750
71 Mo 0.8750 0.1250 0.7500
72 Mo 0.6250 0.3750 0.2500
73 Mo 0.2500 0.1250 0.8750
74 Mo 0.3750 0.2500 0.6250
75 Mo 0.7500 0.3750 0.6250
76 Mo 0.6250 0.7500 0.3750
77 Mo 0.1250 0.8750 0.2500
78 Mo 0.7500 0.8750 0.1250
79 Mo 0.3750 0.6250 0.7500
80 Mo 0.1250 0.7500 0.8750

Computed properties:
space-group type = Ia-3d
calculated volume = 12.85 Å³/atom
theoretical density = 8.40 g/cm3
size of the total moment = 0.130 Bohr magnetons per cell
raw total energy = -9.356 eV/atom



No. 3
Entry from OQMD: a geometry-optimized Th3MoN6 structure (GGA-PBE).

Lattice parameters (Å, degrees): 7.5776 7.5776 5.7236 90.00 90.00 103.46
Positions (direct):
1 Mo 0.1949 0.8051 0.4871
2 Mo 0.8051 0.1949 0.9871
3 N 0.5880 0.1074 0.8266
4 N 0.4120 0.8926 0.3266
5 N 0.6512 0.6673 0.7880
6 N 0.3488 0.3327 0.2880
7 N 0.7899 0.2101 0.3198
8 N 0.8926 0.4120 0.8266
9 N 0.0495 0.9505 0.3659
10 N 0.3327 0.3488 0.7880
11 N 0.1074 0.5880 0.3266
12 N 0.9505 0.0495 0.8659
13 N 0.6673 0.6512 0.2880
14 N 0.2101 0.7899 0.8198
15 Th 0.3041 0.0950 0.0288
16 Th 0.0950 0.3041 0.5288
17 Th 0.6959 0.9050 0.5288
18 Th 0.6020 0.3980 0.5550
19 Th 0.9050 0.6959 0.0288
20 Th 0.3980 0.6020 0.0550

Computed properties:
space-group type = Cmc2_1
calculated volume = 15.98 Å³/atom
theoretical density = 9.10 g/cm3
size of the total moment = 0.001 Bohr magnetons per cell
raw total energy = -9.706 eV/atom



No. 4
Entry from OQMD: a geometry-optimized TlMo2N structure (GGA-PBE).

Lattice parameters (Å, degrees): 5.6602 5.6602 13.8026 101.84 101.84 59.99
Positions (direct):
1 Mo 0.4814 0.6395 0.4273
2 Mo 0.6934 0.8611 0.0729
3 Mo 0.8068 0.9805 0.4272
4 Mo 0.0195 0.1932 0.0728
5 Mo 0.1932 0.0195 0.5728
6 Mo 0.6395 0.4814 0.9273
7 Mo 0.5186 0.3605 0.5727
8 Mo 0.8611 0.6934 0.5729
9 Mo 0.3066 0.1389 0.9271
10 Mo 0.3605 0.5186 0.0727
11 Mo 0.1389 0.3066 0.4271
12 Mo 0.9805 0.8068 0.9272
13 N 0.1610 0.6604 0.4820
14 N 0.8390 0.3396 0.5180
15 N 0.0000 0.5000 0.0000
16 N 0.6604 0.1610 0.9820
17 N 0.5000 0.0000 0.5000
18 N 0.3396 0.8390 0.0180
19 Tl 0.2495 0.4184 0.7501
20 Tl 0.9168 0.0832 0.7500
21 Tl 0.5816 0.7505 0.7499
22 Tl 0.7505 0.5816 0.2499
23 Tl 0.0832 0.9168 0.2500
24 Tl 0.4184 0.2495 0.2501

Computed properties:
E above lowest polymorph = 0.0 meV/atom
space-group type = R-3c
calculated volume = 15.50 Å³/atom
theoretical density = 10.99 g/cm3
size of the total moment = 0.017 Bohr magnetons per cell



No. 5
Entry from OQMD: a geometry-optimized TlMo2N structure (GGA-PBE).

Lattice parameters (Å, degrees): 3.2690 3.2690 13.3743 90.00 90.00 120.00
Positions (direct):
1 N 0.0000 0.0000 0.0000
2 N 0.0000 0.0000 0.5000
3 Mo 0.3333 0.6667 0.4272
4 Mo 0.6667 0.3333 0.5728
5 Mo 0.6667 0.3333 0.9272
6 Mo 0.3333 0.6667 0.0728
7 Tl 0.3333 0.6667 0.7500
8 Tl 0.6667 0.3333 0.2500

Computed properties:
E above lowest polymorph = 5.2 meV/atom
space-group type = P6_3/mmc
calculated volume = 15.47 Å³/atom
theoretical density = 11.01 g/cm3
size of the total moment = 0.027 Bohr magnetons per cell



No. 6
Entry from OQMD: a geometry-optimized TlMo3N5 structure (GGA-PBE).

Lattice parameters (Å, degrees): 5.2230 5.2230 5.8757 90.00 90.00 120.00
Positions (direct):
1 Mo 0.0000 0.5000 0.5000
2 Mo 0.5000 0.0000 0.5000
3 Mo 0.5000 0.5000 0.5000
4 N 0.3333 0.6667 0.2672
5 N 0.6667 0.3333 0.2672
6 N 0.6667 0.3333 0.7328
7 N 0.3333 0.6667 0.7328
8 N 0.0000 0.0000 0.5000
9 Tl 0.0000 0.0000 0.0000

Computed properties:
space-group type = P6/mmm
calculated volume = 15.42 Å³/atom
theoretical density = 6.73 g/cm3
size of the total moment = 0.007 Bohr magnetons per cell
raw total energy = -7.779 eV/atom



No. 7
Entry from OQMD: a geometry-optimized Tl2MoN structure (GGA-PBE).

Lattice parameters (Å, degrees): 3.2527 3.2527 15.0855 90.00 90.00 120.00
Positions (direct):
1 Tl 0.3333 0.6667 0.3997
2 Tl 0.6667 0.3333 0.6003
3 Tl 0.3333 0.6667 0.1003
4 Tl 0.6667 0.3333 0.8997
5 Mo 0.3333 0.6667 0.7500
6 Mo 0.6667 0.3333 0.2500
7 N 0.0000 0.0000 0.5000
8 N 0.0000 0.0000 0.0000

Computed properties:
space-group type = P6_3/mmc
calculated volume = 17.28 Å³/atom
theoretical density = 12.46 g/cm3
size of the total moment = 0.013 Bohr magnetons per cell
raw total energy = -4.898 eV/atom



No. 8
Entry from OQMD: a geometry-optimized Tl3Mo2W4N3 structure (GGA-PBE).

Lattice parameters (Å, degrees): 5.6287 5.6287 13.8036 101.79 101.79 61.11
Positions (direct):
1 Tl 0.9101 0.0899 0.2500
2 Tl 0.0899 0.9101 0.7500
3 Tl 0.2388 0.4216 0.2478
4 Tl 0.7612 0.5784 0.7522
5 Tl 0.5784 0.7612 0.2522
6 Tl 0.4216 0.2388 0.7478
7 W 0.0045 0.2015 0.5703
8 W 0.2015 0.0045 0.0703
9 W 0.9955 0.7985 0.4297
10 W 0.1499 0.2989 0.9269
11 W 0.2989 0.1499 0.4269
12 W 0.7011 0.8501 0.5731
13 W 0.8501 0.7011 0.0731
14 W 0.7985 0.9955 0.9297
15 Mo 0.3835 0.5016 0.5780
16 Mo 0.5016 0.3835 0.0780
17 Mo 0.6165 0.4984 0.4220
18 Mo 0.4984 0.6165 0.9220
19 N 0.1562 0.6624 0.9722
20 N 0.0000 0.5000 0.5000
21 N 0.3376 0.8438 0.5278
22 N 0.8438 0.3376 0.0278
23 N 0.5000 0.0000 0.0000
24 N 0.6624 0.1562 0.4722

Computed properties:
space-group type = C2/c
calculated volume = 15.50 Å³/atom
theoretical density = 14.13 g/cm3
size of the total moment = 0.002 Bohr magnetons per cell
raw total energy = -8.420 eV/atom